Crystalline KCr2RhO8 at its relaxed geometry, computed with PBE+U.

Mass density (g/cm³): 3.375
Energy (eV per atom): -6.48
Calculated volume (Å³ per atom): 15.33

abc: 5.189 5.189 7.892
angles: 90.00 90.00 120.00
Positions (direct):
1 K 0.000 0.000 0.000
2 Cr 0.333 0.667 0.718
3 Cr 0.667 0.333 0.282
4 Rh 0.000 0.000 0.500
5 O 0.056 0.331 0.654
6 O 0.275 0.944 0.654
7 O 0.331 0.275 0.346
8 O 0.333 0.667 0.925
9 O 0.667 0.333 0.075
10 O 0.669 0.725 0.654
11 O 0.725 0.056 0.346
12 O 0.944 0.669 0.346